(1)
The following is a PBE calculation of a relaxed Nd2LuAg crystal, from Alexandria.

```
Nd2LuAg
1.0
0.000 3.862 3.862
3.862 0.000 3.862
3.862 3.862 0.000
Nd Lu Ag
2 1 1
Direct
0.250 0.250 0.250
0.750 0.750 0.750
0.000 0.000 0.000
0.500 0.500 0.500
```

Computed properties:
Offset from the most stable computed form, kJ per mole of atoms: 12.5
Calculated formation energy, eV per atom: 0.04
Space-group type: Fm-3m
Spin magnetization, μB per formula unit: 0.0

(2)
The following is a PBE calculation of a relaxed FePtN2Cl crystal, from Alexandria.

```
FePtN2Cl
1.0
3.719 0.000 0.000
0.000 3.719 0.000
0.000 0.000 7.346
Fe Pt N Cl
1 1 2 1
Direct
0.000 0.000 0.000
0.500 0.500 0.500
0.000 0.500 0.500
0.500 0.000 0.500
0.500 0.500 0.000
```

Computed properties:
Space-group type: P4/mmm
Spin magnetization, μB per formula unit: 3.4
Uncorrected formation energy, eV per atom: 1.205

(3)
The following is a PBE calculation of a relaxed Pr6Ga3O crystal, from Alexandria.

```
Pr6Ga3O
1.0
6.638 0.000 0.000
0.000 8.159 0.000
-5.676 0.000 10.097
Pr Ga O
12 6 2
Direct
0.083 0.053 0.234
0.083 0.447 0.734
0.186 0.714 0.063
0.186 0.786 0.563
0.388 0.152 0.053
0.388 0.348 0.553
0.612 0.652 0.447
0.612 0.848 0.947
0.814 0.214 0.437
0.814 0.286 0.937
0.917 0.553 0.266
0.917 0.947 0.766
0.321 0.114 0.741
0.321 0.386 0.241
0.500 0.000 0.500
0.500 0.500 0.000
0.679 0.614 0.759
0.679 0.886 0.259
0.000 0.000 0.000
0.000 0.500 0.500
```

Computed properties:
Space-group type: P2_1/c
Spin magnetization, μB per formula unit: 0.0
Uncorrected formation energy, eV per atom: -0.819

(4)
The following is a PBE calculation of a relaxed Pr2Sm7Y2 crystal, from Alexandria.

```
Pr2Sm7Y2
1.0
5.800 -5.783 0.000
5.800 5.783 0.000
-2.375 0.000 5.654
Pr Sm Y
2 7 2
Direct
0.231 0.231 0.095
0.769 0.769 0.905
0.000 0.000 0.500
0.053 0.590 0.325
0.410 0.947 0.675
0.419 0.419 0.698
0.581 0.581 0.302
0.590 0.053 0.325
0.947 0.410 0.675
0.218 0.782 0.000
0.782 0.218 0.000
```

Computed properties:
Offset from the most stable computed form, kJ per mole of atoms: 0.0
Calculated formation energy, eV per atom: 0.14
Space-group type: C2/m
Spin magnetization, μB per formula unit: 0.0

(5)
The following is a PBE calculation of a relaxed NdSm6Hg5 crystal, from Alexandria.

```
NdSm6Hg5
1.0
2.662 -8.195 0.000
2.662 8.195 0.000
0.000 0.000 7.772
Nd Sm Hg
1 6 5
Direct
0.000 0.000 0.000
0.174 0.826 0.248
0.174 0.826 0.752
0.500 0.500 0.277
0.500 0.500 0.723
0.826 0.174 0.248
0.826 0.174 0.752
0.000 0.000 0.500
0.331 0.669 0.500
0.349 0.651 0.000
0.651 0.349 0.000
0.669 0.331 0.500
```

Computed properties:
Calculated formation energy, eV per atom: -0.34
Space-group type: Cmmm
Spin magnetization, μB per formula unit: 0.3

(6)
The following is a PBE calculation of a relaxed K4Th3MnSe8 crystal, from Alexandria.

```
K4Th3MnSe8
1.0
4.223 2.438 7.777
-4.223 2.438 7.777
0.000 -4.877 7.777
K Th Mn Se
4 3 1 8
Direct
0.000 0.000 0.000
0.000 0.500 0.500
0.500 0.000 0.500
0.500 0.500 0.000
0.000 0.000 0.500
0.000 0.500 0.000
0.500 0.000 0.000
0.500 0.500 0.500
0.240 0.240 0.240
0.246 0.730 0.730
0.270 0.270 0.754
0.270 0.754 0.270
0.730 0.246 0.730
0.730 0.730 0.246
0.754 0.270 0.270
0.760 0.760 0.760
```

Computed properties:
Space-group type: R-3m
Spin magnetization, μB per formula unit: 3.8
Uncorrected formation energy, eV per atom: -1.393

(7)
The following is a PBE calculation of a relaxed AcTh2Pt3 crystal, from Alexandria.

```
AcTh2Pt3
1.0
0.000 6.023 12.823
4.251 0.000 12.823
4.251 6.023 0.000
Ac Th Pt
4 8 12
Direct
0.042 0.042 0.208
0.208 0.208 0.042
0.792 0.792 0.958
0.958 0.958 0.792
0.125 0.125 0.625
0.292 0.292 0.458
0.375 0.375 0.875
0.458 0.458 0.292
0.542 0.542 0.708
0.625 0.625 0.125
0.708 0.708 0.542
0.875 0.875 0.375
0.044 0.545 0.220
0.139 0.611 0.611
0.220 0.691 0.044
0.309 0.780 0.455
0.389 0.861 0.861
0.455 0.956 0.309
0.545 0.044 0.691
0.611 0.139 0.139
0.691 0.220 0.545
0.780 0.309 0.956
0.861 0.389 0.389
0.956 0.455 0.780
```

Computed properties:
Calculated formation energy, eV per atom: -1.20
Space-group type: Fddd
Spin magnetization, μB per formula unit: 0.0

(8)
The following is a PBE calculation of a relaxed Ga2SbCl crystal, from Alexandria.

```
Ga2SbCl
1.0
0.000 3.557 3.557
3.557 0.000 3.557
3.557 3.557 0.000
Ga Sb Cl
2 1 1
Direct
0.250 0.250 0.250
0.750 0.750 0.750
0.000 0.000 0.000
0.500 0.500 0.500
```

Computed properties:
Offset from the most stable computed form, kJ per mole of atoms: 0.0
Space-group type: Fm-3m
Spin magnetization, μB per formula unit: 0.0
Uncorrected formation energy, eV per atom: -0.164

(9)
The following is a PBE calculation of a relaxed SmSc5Co4 crystal, from Alexandria.

```
SmSc5Co4
1.0
3.155 0.000 0.000
0.000 3.155 0.000
0.000 0.000 17.878
Sm Sc Co
1 5 4
Direct
0.000 0.000 0.000
0.500 0.500 0.155
0.500 0.500 0.327
0.500 0.500 0.500
0.500 0.500 0.673
0.500 0.500 0.845
0.000 0.000 0.237
0.000 0.000 0.413
0.000 0.000 0.587
0.000 0.000 0.763
```

Computed properties:
Calculated formation energy, eV per atom: -0.28
Space-group type: P4/mmm
Spin magnetization, μB per formula unit: 1.0

(10)
The following is a PBE calculation of a relaxed CsMgP3 crystal, from Alexandria.

```
CsMgP3
1.0
5.409 0.000 0.000
0.000 5.409 0.000
0.000 0.000 5.409
Cs Mg P
1 1 3
Direct
0.000 0.000 0.000
0.500 0.500 0.500
0.000 0.000 0.500
0.000 0.500 0.000
0.500 0.000 0.000
```

Computed properties:
Offset from the most stable computed form, kJ per mole of atoms: 130.5
Calculated formation energy, eV per atom: 1.87
Space-group type: Pm-3m
Spin magnetization, μB per formula unit: 0.0

(11)
The following is a PBE calculation of a relaxed Ac3Pr4Tl crystal, from Alexandria.

```
Ac3Pr4Tl
1.0
3.870 0.000 0.000
0.000 3.870 0.000
0.000 0.000 20.090
Ac Pr Tl
3 4 1
Direct
0.000 0.000 0.000
0.000 0.000 0.267
0.000 0.000 0.733
0.500 0.500 0.133
0.500 0.500 0.398
0.500 0.500 0.602
0.500 0.500 0.867
0.000 0.000 0.500
```

Computed properties:
Calculated formation energy, eV per atom: -0.08
Space-group type: P4/mmm
Spin magnetization, μB per formula unit: 0.0

(12)
The following is a PBE calculation of a relaxed NdSn12Pd4 crystal, from Alexandria.

```
NdSn12Pd4
1.0
-4.751 4.751 4.751
4.751 -4.751 4.751
4.751 4.751 -4.751
Nd Sn Pd
1 12 4
Direct
0.000 0.000 0.000
0.159 0.343 0.503
0.159 0.657 0.816
0.184 0.841 0.343
0.343 0.184 0.841
0.343 0.503 0.159
0.497 0.841 0.657
0.503 0.159 0.343
0.657 0.497 0.841
0.657 0.816 0.159
0.816 0.159 0.657
0.841 0.343 0.184
0.841 0.657 0.497
0.000 0.000 0.500
0.000 0.500 0.000
0.500 0.000 0.000
0.500 0.500 0.500
```

Computed properties:
Calculated formation energy, eV per atom: -0.34
Space-group type: Im-3
Spin magnetization, μB per formula unit: 0.0

(13)
The following is a PBE calculation of a relaxed FeRuSeN2 crystal, from Alexandria.

```
FeRuSeN2
1.0
3.547 0.000 0.000
0.000 3.547 0.000
0.000 0.000 5.293
Fe Ru Se N
1 1 1 2
Direct
0.000 0.000 0.000
0.500 0.500 0.500
0.000 0.000 0.500
0.000 0.500 0.000
0.500 0.000 0.000
```

Computed properties:
Offset from the most stable computed form, kJ per mole of atoms: 15.6
Space-group type: P4/mmm
Spin magnetization, μB per formula unit: 0.0
Uncorrected formation energy, eV per atom: 1.070

(14)
The following is a PBE calculation of a relaxed La2Mg16Zn crystal, from Alexandria.

```
La2Mg16Zn
1.0
5.137 2.966 5.062
-5.137 2.966 5.062
0.000 -5.932 5.062
La Mg Zn
2 16 1
Direct
0.000 0.000 0.000
0.344 0.344 0.344
0.023 0.023 0.514
0.023 0.514 0.023
0.167 0.675 0.675
0.324 0.324 0.830
0.324 0.830 0.324
0.374 0.673 0.972
0.374 0.972 0.673
0.514 0.023 0.023
0.587 0.587 0.587
0.673 0.374 0.972
0.673 0.972 0.374
0.675 0.167 0.675
0.675 0.675 0.167
0.830 0.324 0.324
0.972 0.374 0.673
0.972 0.673 0.374
0.780 0.780 0.780
```

Computed properties:
Calculated formation energy, eV per atom: -0.08
Space-group type: R3m
Spin magnetization, μB per formula unit: 0.0

(15)
The following is a PBE calculation of a relaxed CrH2 crystal, from Alexandria.

```
CrH2
1.0
0.000 2.050 2.050
2.050 0.000 2.050
2.050 2.050 0.000
Cr H
1 2
Direct
0.000 0.000 0.000
0.250 0.250 0.250
0.750 0.750 0.750
```

Computed properties:
Space-group type: Fm-3m
Calculated total energy, eV for the cell shown: -16.21
Spin magnetization, μB per formula unit: 0.9

(16)
The following is a PBE calculation of a relaxed AlHO crystal, from Alexandria.

```
AlHO
1.0
3.012 0.000 0.000
0.000 4.828 0.000
-0.035 0.000 5.043
Al H O
2 2 2
Direct
0.248 0.000 0.353
0.752 0.500 0.647
0.246 0.961 0.043
0.754 0.461 0.957
0.250 0.668 0.526
0.750 0.168 0.474
```

Computed properties:
Offset from the most stable computed form, kJ per mole of atoms: 0.5
Space-group type: P2_1
Spin magnetization, μB per formula unit: 0.0

(17)
The following is a PBE calculation of a relaxed NpZnAsN crystal, from Alexandria.

```
NpZnAsN
1.0
1.972 1.138 10.368
-1.972 1.138 10.368
0.000 -2.277 10.368
Np Zn As N
2 2 2 2
Direct
0.123 0.123 0.123
0.877 0.877 0.877
0.305 0.305 0.305
0.695 0.695 0.695
0.391 0.391 0.391
0.609 0.609 0.609
0.193 0.193 0.193
0.807 0.807 0.807
```

Computed properties:
Space-group type: R-3m
Spin magnetization, μB per formula unit: 3.0
Uncorrected formation energy, eV per atom: -0.736

(18)
The following is a PBE calculation of a relaxed Sc4Ag3Au crystal, from Alexandria.

```
Sc4Ag3Au
1.0
3.426 0.000 0.000
0.000 3.426 0.000
0.000 0.000 13.688
Sc Ag Au
4 3 1
Direct
0.000 0.000 0.122
0.000 0.000 0.374
0.000 0.000 0.626
0.000 0.000 0.878
0.500 0.500 0.249
0.500 0.500 0.500
0.500 0.500 0.751
0.500 0.500 0.000
```

Computed properties:
Calculated formation energy, eV per atom: -0.41
Space-group type: P4/mmm
Spin magnetization, μB per formula unit: 0.0

(19)
The following is a PBE calculation of a relaxed Ac4SiCBr2 crystal, from Alexandria.

```
Ac4SiCBr2
1.0
7.483 0.000 0.000
0.000 4.288 0.000
-2.489 0.000 7.930
Ac Si C Br
4 1 1 2
Direct
0.210 0.000 0.191
0.240 0.500 0.800
0.760 0.500 0.200
0.790 0.000 0.809
0.500 0.000 0.000
0.000 0.500 0.000
0.000 0.000 0.500
0.500 0.500 0.500
```

Computed properties:
Space-group type: P2/m
Spin magnetization, μB per formula unit: 0.0
Uncorrected formation energy, eV per atom: -0.850

(20)
The following is a PBE calculation of a relaxed RbSn2Hg crystal, from Alexandria.

```
RbSn2Hg
1.0
6.701 0.000 0.000
0.000 4.407 0.000
0.000 0.000 20.611
Rb Sn Hg
4 8 4
Direct
0.233 0.250 0.104
0.267 0.750 0.604
0.733 0.250 0.396
0.767 0.750 0.896
0.017 0.250 0.750
0.234 0.250 0.316
0.266 0.750 0.816
0.483 0.750 0.250
0.517 0.250 0.750
0.734 0.250 0.184
0.766 0.750 0.684
0.983 0.750 0.250
0.235 0.750 0.427
0.265 0.250 0.927
0.735 0.750 0.073
0.765 0.250 0.573
```

Computed properties:
Calculated formation energy, eV per atom: -0.12
Space-group type: Pnma
Spin magnetization, μB per formula unit: 0.0

(21)
The following is a PBE calculation of a relaxed AcTbSeS2 crystal, from Alexandria.

```
AcTbSeS2
1.0
4.867 0.000 0.000
0.000 4.867 0.000
0.000 0.000 6.737
Ac Tb Se S
1 1 1 2
Direct
0.000 0.000 0.000
0.500 0.500 0.407
0.500 0.500 0.816
0.000 0.500 0.250
0.500 0.000 0.250
```

Computed properties:
Space-group type: P4mm
Spin magnetization, μB per formula unit: 0.0
Uncorrected formation energy, eV per atom: -1.940

(22)
The following is a PBE calculation of a relaxed PrSm2Pb3 crystal, from Alexandria.

```
PrSm2Pb3
1.0
2.957 -8.871 0.000
2.957 8.871 0.000
0.000 0.000 3.457
Pr Sm Pb
1 2 3
Direct
0.000 0.000 0.000
0.334 0.666 0.000
0.666 0.334 0.000
0.169 0.831 0.500
0.500 0.500 0.500
0.831 0.169 0.500
```

Computed properties:
Offset from the most stable computed form, kJ per mole of atoms: 1.0
Calculated formation energy, eV per atom: -0.47
Space-group type: Cmmm
Spin magnetization, μB per formula unit: 1.0